Record 1
{
  "formula": "Mg3NiCl",
  "functional": "GGA-PBE",
  "state": "optimized geometry",
  "lattice": [[-3.3835, 3.0825, 1.3538], [0.5887, -1.3481, 4.5407], [3.3148, 3.3857, 0.5754]],
  "species": ["Ni", "Mg", "Cl", "Mg", "Mg"],
  "frac_coords": [[0.5000, 0.5000, 0.5000], [0.5000, 0.0000, 0.0000], [0.0000, 0.0000, 0.0000], [0.0000, 0.0000, 0.5000], [0.0000, 0.5000, 0.0000]],
  "vol_a3_per_fu": 108.7,
  "e_above_lowest_polymorph_ev_per_atom": 0.4790,
  "formation_energy_uncorrected_ev_per_fu": 1.76,
  "total_magnetization_mub_per_fu": 0.00
}

Record 2
{
  "formula": "MgNiCl2",
  "functional": "GGA-PBE",
  "state": "optimized geometry",
  "lattice": [[7.5113, 0.1125, -0.0032], [5.8804, 4.6747, 0.0032], [-6.6122, -2.6276, 2.4097]],
  "species": ["Mg", "Ni", "Cl", "Cl"],
  "frac_coords": [[0.4274, 0.4274, 0.0000], [0.2815, 0.7815, 0.5000], [0.7787, 0.2787, 0.5000], [0.0124, 0.0124, 0.0000]],
  "vol_a3_per_fu": 83.0,
  "e_above_lowest_polymorph_ev_per_atom": 0.2369,
  "formation_energy_uncorrected_ev_per_fu": -2.25,
  "total_magnetization_mub_per_fu": 0.00
}